*P*
Density functional theory data (PBE with a Hubbard U) for an optimized crystal structure of CoSiNF2.

Cell: 3.9375 3.9375 3.3659 Å, 90.00 90.00 90.00°
With the nearest neighbours (Å) after each atom.
Space group P4/mmm (No. 123)
Asymmetric unit:
Co: 0.0000 0.0000 0.0000  8 F 2.59, 4 N 2.78
Si: 0.5000 0.5000 0.5000  2 N 1.68
N: 0.5000 0.5000 0.0000  2 Si 1.68
F: 0.0000 0.5000 0.5000  2 Si 1.97

***

*Q*
Density functional theory data (PBE with a Hubbard U) for an optimized crystal structure of CoSiNF2.

Cell: 3.9617 3.9617 3.8028 Å, 90.00 90.00 90.00°
With the nearest neighbours (Å) after each atom.
Space group P4/mmm (No. 123)
Asymmetric unit:
Co: 0.0000 0.0000 0.0000  2 N 1.90, 4 F 1.98
Si: 0.5000 0.5000 0.5000  8 F 2.75, 4 N 2.80
N: 0.0000 0.0000 0.5000  2 Co 1.90
F: 0.0000 0.5000 0.0000  2 Co 1.98

***

Energy ordering: *P* at the bottom, the next structure 575 meV per atom above.